(1)
A plane-wave DFT calculation with GGA-PBEsol was carried out for an optimized crystal structure of Sb2Au.

Lattice parameters (Å, degrees): 6.6679 6.6679 6.6679 90.00 90.00 90.00
Closest atoms and distances in Å follow each position.
Space group Pa-3 (No. 205)
Unique sites:
Sb 0.1253 0.1253 0.1253 x8  3 Au 2.76, 1 Sb 2.90
Au 0.0000 0.0000 0.5000 x4  6 Sb 2.76

Computed properties:
ΔE_f (raw): -2.3 kcal/mol of atoms



(2)
A plane-wave DFT calculation with GGA-PBEsol was carried out for an optimized crystal structure of LiAgOs.

Lattice parameters (Å, degrees): 5.9635 5.9635 5.9635 90.00 90.00 90.00
Closest atoms and distances in Å follow each position.
Space group F-43m (No. 216)
Unique sites:
Li 0.0000 0.0000 0.0000 x4  4 Ag 2.58
Ag 0.2500 0.2500 0.2500 x4  4 Li 2.58, 4 Os 2.58
Os 0.0000 0.0000 0.5000 x4  4 Ag 2.58

Computed properties:
energy relative to the elements: 1326 meV per atom
energy relative to the lowest polymorph listed for this composition: 0.0 meV/atom



(3)
A plane-wave DFT calculation with GGA-PBEsol was carried out for an optimized crystal structure of LiScZn4.

Lattice parameters (Å, degrees): 7.2180 7.2180 7.2180 90.00 90.00 90.00
Closest atoms and distances in Å follow each position.
Space group F-43m (No. 216)
Unique sites:
Li 0.0000 0.0000 0.0000 x4  12 Zn 2.99, 4 Sc 3.13
Sc 0.2500 0.2500 0.2500 x4  12 Zn 2.99, 4 Li 3.13
Zn 0.1249 0.1249 0.6249 x16  6 Zn 2.55

Computed properties:
energy relative to the elements: -250 meV per atom



(4)
A plane-wave DFT calculation with GGA-PBEsol was carried out for an optimized crystal structure of BaLaFe.

Lattice parameters (Å, degrees): 7.0629 7.0629 7.0629 90.00 90.00 90.00
Closest atoms and distances in Å follow each position.
Space group F-43m (No. 216)
Unique sites:
Ba 0.0000 0.0000 0.0000 x4  4 La 3.06
La 0.2500 0.2500 0.2500 x4  4 Ba 3.06, 4 Fe 3.06
Fe 0.0000 0.0000 0.5000 x4  4 La 3.06

Computed properties:
energy relative to the elements: 1005 meV per atom
energy relative to the lowest polymorph listed for this composition: 574.3 meV/atom



(5)
A plane-wave DFT calculation with GGA-PBEsol was carried out for an optimized crystal structure of Ta2AgRu.

Lattice parameters (Å, degrees): 9.2900 2.9598 4.8387 90.00 102.50 90.00
Closest atoms and distances in Å follow each position.
Space group Cm (No. 8)
Unique sites:
Ta 0.0000 0.0000 0.0000 x2  3 Ag 2.73-2.81, 4 Ru 2.82-2.86, 5 Ta 2.90-2.96
Ta 0.2438 0.0000 0.7082 x2  3 Ru 2.69-2.82, 4 Ag 2.79-2.89, 5 Ta 2.90-2.96
Ag 0.2552 0.5000 0.2256 x2  7 Ta 2.73-2.89, 3 Ru 2.82-2.92, 2 Ag 2.96
Ru 0.0038 0.5000 0.4966 x2  7 Ta 2.69-2.86, 3 Ag 2.82-2.92, 2 Ru 2.96

Computed properties:
energy relative to the elements: 141 meV per atom
energy relative to the lowest polymorph listed for this composition: 81.0 meV/atom



(6)
A plane-wave DFT calculation with GGA-PBEsol was carried out for an optimized crystal structure of LiZnCu2.

Lattice parameters (Å, degrees): 5.0368 8.0204 2.4987 90.00 106.85 90.00
Closest atoms and distances in Å follow each position.
Space group C2/m (No. 12)
Unique sites:
Li 0.0000 0.0000 0.0000 x2  2 Li 2.50, 4 Cu 2.50, 2 Zn 2.52
Zn 0.0000 0.5000 0.0000 x2  2 Zn 2.50, 4 Cu 2.50, 2 Li 2.52
Cu 0.2500 0.2500 0.5000 x4  4 Cu 2.50-2.52, 2 Li 2.50, 2 Zn 2.50

Computed properties:
energy relative to the elements: -58 meV per atom



(7)
A plane-wave DFT calculation with GGA-PBEsol was carried out for an optimized crystal structure of TaRuI2O.

Lattice parameters (Å, degrees): 5.4231 5.4231 3.5986 90.00 90.00 90.00
Closest atoms and distances in Å follow each position.
Space group P4/mmm (No. 123)
Unique sites:
Ta 0.0000 0.0000 0.0000 x1  8 I 3.25, 2 Ta 3.60
Ru 0.5000 0.5000 0.5000 x1  2 O 1.80
I 0.0000 0.5000 0.5000 x2  2 Ru 2.71
O 0.5000 0.5000 0.0000 x1  2 Ru 1.80

Computed properties:
ΔE_f (raw): 12.0 kcal/mol of atoms
energy relative to the lowest polymorph listed for this composition: 244.9 meV/atom



(8)
A plane-wave DFT calculation with GGA-PBEsol was carried out for an optimized crystal structure of LuB2C.

Lattice parameters (Å, degrees): 6.7016 6.7016 7.0613 90.00 90.00 90.00
Closest atoms and distances in Å follow each position.
Space group P4_2/mbc (No. 135)
Unique sites:
Lu 0.1910 0.3090 0.2500 x8  4 C 2.51-2.52, 10 B 2.55-2.70
B 0.0339 0.8476 0.0000 x8  2 C 1.61, 1 B 1.73
B 0.0926 0.5968 0.0000 x8  1 C 1.58, 1 B 1.73
C 0.0403 0.8216 0.5000 x8  3 B 1.58-1.61

Computed properties:
energy relative to the elements: -632 meV per atom



(9)
A plane-wave DFT calculation with GGA-PBEsol was carried out for an optimized crystal structure of TaTeRh2F.

Lattice parameters (Å, degrees): 4.1007 4.1007 4.7789 90.00 90.00 90.00
Closest atoms and distances in Å follow each position.
Space group P4/mmm (No. 123)
Unique sites:
Ta 0.0000 0.0000 0.0000 x1  4 Te 2.90, 8 Rh 3.15
Te 0.5000 0.5000 0.0000 x1  2 F 2.39
Rh 0.0000 0.5000 0.5000 x2  2 F 2.05
F 0.5000 0.5000 0.5000 x1  4 Rh 2.05

Computed properties:
ΔE_f (raw): 10.3 kcal/mol of atoms



(10)
A plane-wave DFT calculation with GGA-PBEsol was carried out for an optimized crystal structure of Sr2ErRuO6.

Lattice parameters (Å, degrees): 5.7169 5.7549 9.8835 90.00 125.00 90.00
Closest atoms and distances in Å follow each position.
Space group P2_1/c (No. 14)
Unique sites:
Sr 0.2417 0.0335 0.2492 x4  6 O 2.52-2.75
Er 0.5000 0.0000 0.0000 x2  6 O 2.18-2.19
Ru 0.0000 0.0000 0.5000 x2  6 O 1.95
O 0.1618 0.2294 0.9619 x4  1 Ru 1.95, 1 Er 2.19
O 0.2323 0.7024 0.9634 x4  1 Ru 1.95
O 0.3053 0.0162 0.7350 x4  1 Ru 1.95, 1 Er 2.18

Computed properties:
ΔE_f (raw): -58.1 kcal/mol of atoms



(11)
A plane-wave DFT calculation with GGA-PBEsol was carried out for an optimized crystal structure of RhWBr.

Lattice parameters (Å, degrees): 4.3202 4.3202 2.9136 90.00 90.00 120.00
Closest atoms and distances in Å follow each position.
Space group P-6m2 (No. 187)
Unique sites:
Rh 0.0000 0.0000 0.0000 x1  6 W 2.89, 6 Br 2.89, 2 Rh 2.91
W 0.6667 0.3333 0.5000 x1  3 Br 2.49
Br 0.3333 0.6667 0.5000 x1  3 W 2.49

Computed properties:
ΔE_f (raw): 17.4 kcal/mol of atoms
energy relative to the lowest polymorph listed for this composition: 369.4 meV/atom



(12)
A plane-wave DFT calculation with GGA-PBEsol was carried out for an optimized crystal structure of SrTcBr2.

Lattice parameters (Å, degrees): 3.9913 3.9913 24.8608 90.00 90.00 120.00
Closest atoms and distances in Å follow each position.
Space group R-3m (No. 166, hexagonal axes)
Unique sites:
Sr 0.0000 0.0000 0.0000 x3  2 Br 3.01
Tc 0.0000 0.0000 0.5000 x3  6 Br 2.57
Br 0.0000 0.0000 0.1213 x6  3 Tc 2.57

Computed properties:
ΔE_f (raw): 1.1 kcal/mol of atoms
energy relative to the lowest polymorph listed for this composition: 198.6 meV/atom



(13)
A plane-wave DFT calculation with GGA-PBEsol was carried out for an optimized crystal structure of HoLuMg2.

Lattice parameters (Å, degrees): 7.4096 7.4096 7.4096 90.00 90.00 90.00
Closest atoms and distances in Å follow each position.
Space group Fm-3m (No. 225)
Unique sites:
Ho 0.0000 0.0000 0.0000 x4  8 Mg 3.21
Lu 0.0000 0.0000 0.5000 x4  8 Mg 3.21
Mg 0.2500 0.2500 0.2500 x8  4 Ho 3.21, 4 Lu 3.21

Computed properties:
energy relative to the elements: -44 meV per atom



Spin magnetization in μB per formula unit, matching the order above: 0.00, 2.11, 0.00, 1.69, 0.00, 0.00, 2.38, 0.00, 0.00, 3.00, 0.00, 0.37, 0.00